# 1
{
  "formula": "ScTeSeI2",
  "functional": "PBE",
  "state": "optimized geometry",
  "relative_energy_mev_per_atom": 0,
  "spacegroup": "P4/mmm (123)",
  "lattice_angstrom": [[-1.9244, -1.9660, 4.8508], [1.0161, -5.2103, -1.7085], [5.3839, 0.3086, 2.2610]],
  "species": ["I", "I", "Sc", "Te", "Se"],
  "fractional_positions": [[0.0000, 0.5000, 0.0000], [0.5000, 0.0000, 0.0000], [0.0000, 0.0000, 0.0000], [0.0000, 0.0000, 0.5000], [0.5000, 0.5000, 0.5000]]
}


# 2
{
  "formula": "ScTeSeI2",
  "functional": "PBE",
  "state": "optimized geometry",
  "relative_energy_mev_per_atom": 443,
  "spacegroup": "P4/mmm (123)",
  "lattice_angstrom": [[5.6868, 0.0000, 0.0000], [0.0000, 5.6868, 0.0000], [0.0000, 0.0000, 5.5397]],
  "species": ["I", "I", "Sc", "Te", "Se"],
  "fractional_positions": [[0.0000, 0.5000, 0.0000], [0.5000, 0.0000, 0.0000], [0.5000, 0.5000, 0.5000], [0.0000, 0.0000, 0.5000], [0.0000, 0.0000, 0.0000]]
}


# 3
{
  "formula": "Sc4SiI5",
  "functional": "PBE",
  "state": "optimized geometry",
  "relative_energy_mev_per_atom": 14,
  "spacegroup": "C2/m (12)",
  "lattice_angstrom": [[3.8980, 0.0000, -0.8572], [0.0106, 8.3322, 0.0482], [0.2611, 0.0037, 10.4788]],
  "species": ["Sc", "Sc", "Sc", "Sc", "Si", "I", "I", "I", "I", "I"],
  "fractional_positions": [[0.3783, 0.0018, 0.7567], [0.0000, 0.7942, 0.9999], [0.6217, 0.9982, 0.2433], [0.0000, 0.2058, 0.0001], [0.5000, 0.0000, 0.0000], [0.8507, 0.7542, 0.7013], [0.8508, 0.2504, 0.7017], [0.1492, 0.7496, 0.2983], [0.5000, 0.5000, 0.0000], [0.1493, 0.2458, 0.2987]]
}


# 4
{
  "formula": "ScSi3I",
  "functional": "PBE",
  "state": "optimized geometry",
  "relative_energy_mev_per_atom": 0,
  "spacegroup": "Pm-3m (221)",
  "lattice_angstrom": [[-5.1169, -0.8807, 0.5641], [0.7880, -5.0986, -0.8125], [0.6877, -0.7109, 5.1282]],
  "species": ["I", "Sc", "Si", "Si", "Si"],
  "fractional_positions": [[0.5000, 0.5000, 0.5000], [0.0000, 0.0000, 0.0000], [0.0000, 0.5000, 0.0000], [0.0000, 0.0000, 0.5000], [0.5000, 0.0000, 0.0000]]
}


# 5
{
  "formula": "Sc7SiI12",
  "functional": "PBE",
  "state": "optimized geometry",
  "spacegroup": "R-3 (148)",
  "lattice_angstrom": [[8.9426, -0.2221, -2.7427], [-3.6492, 8.1672, -2.7427], [-0.1479, -0.2221, 9.3526]],
  "species": ["Sc", "Sc", "Sc", "Sc", "Sc", "Sc", "Sc", "Si", "I", "I", "I", "I", "I", "I", "I", "I", "I", "I", "I", "I"],
  "fractional_positions": [[0.9701, 0.6992, 0.9017], [0.3008, 0.0983, 0.0299], [0.0983, 0.0299, 0.3008], [0.5000, 0.5000, 0.5000], [0.9017, 0.9701, 0.6992], [0.6992, 0.9017, 0.9701], [0.0299, 0.3008, 0.0983], [0.0000, 0.0000, 0.0000], [0.9234, 0.3119, 0.7756], [0.6881, 0.2244, 0.0766], [0.4608, 0.1555, 0.3848], [0.8445, 0.6152, 0.5392], [0.2244, 0.0766, 0.6881], [0.6152, 0.5392, 0.8445], [0.3848, 0.4608, 0.1555], [0.7756, 0.9234, 0.3119], [0.1555, 0.3848, 0.4608], [0.5392, 0.8445, 0.6152], [0.3119, 0.7756, 0.9234], [0.0766, 0.6881, 0.2244]]
}


# 6
{
  "formula": "Sc3SiI",
  "functional": "PBE",
  "state": "optimized geometry",
  "relative_energy_mev_per_atom": 0,
  "spacegroup": "Pm-3m (221)",
  "lattice_angstrom": [[-1.7716, 4.7841, 0.1071], [-4.0121, -1.5472, 2.7472], [2.6081, 0.8696, 4.2988]],
  "species": ["I", "Sc", "Sc", "Sc", "Si"],
  "fractional_positions": [[0.5000, 0.5000, 0.5000], [0.0000, 0.5000, 0.0000], [0.0000, 0.0000, 0.5000], [0.5000, 0.0000, 0.0000], [0.0000, 0.0000, 0.0000]]
}


# 7
{
  "formula": "Sc2Si2I",
  "functional": "PBE",
  "state": "optimized geometry",
  "relative_energy_mev_per_atom": 14,
  "spacegroup": "P4/mbm (127)",
  "lattice_angstrom": [[-2.1610, -2.4925, -6.9190], [7.2490, -1.9379, -1.5659], [-0.5947, -3.3494, 1.3923]],
  "species": ["I", "I", "Sc", "Sc", "Sc", "Sc", "Si", "Si", "Si", "Si"],
  "fractional_positions": [[0.0000, 0.0000, 0.0000], [0.5000, 0.5000, 0.0000], [0.3261, 0.8261, 0.0000], [0.8261, 0.6739, 0.0000], [0.6739, 0.1739, 0.0000], [0.1739, 0.3261, 0.0000], [0.1077, 0.6077, 0.5000], [0.6077, 0.8923, 0.5000], [0.8923, 0.3923, 0.5000], [0.3923, 0.1077, 0.5000]]
}


# 8
{
  "formula": "Sc3SiI3",
  "functional": "PBE",
  "state": "optimized geometry",
  "spacegroup": "I4_132 (214)",
  "lattice_angstrom": [[9.4573, 0.0000, -3.3436], [-4.7286, 8.1902, -3.3436], [0.0000, 0.0000, 10.0309]],
  "species": ["Sc", "Sc", "Sc", "Sc", "Sc", "Sc", "Sc", "Sc", "Sc", "Sc", "Sc", "Sc", "Si", "Si", "Si", "Si", "I", "I", "I", "I", "I", "I", "I", "I", "I", "I", "I", "I"],
  "fractional_positions": [[0.9556, 0.4778, 0.2278], [0.5222, 0.0444, 0.2722], [0.2500, 0.0222, 0.4778], [0.9778, 0.7500, 0.0222], [0.9778, 0.2278, 0.4556], [0.7722, 0.0222, 0.0444], [0.7278, 0.4556, 0.4778], [0.7722, 0.7500, 0.2278], [0.5444, 0.2722, 0.0222], [0.2500, 0.2278, 0.2722], [0.7278, 0.2722, 0.7500], [0.5222, 0.4778, 0.7500], [0.7500, 0.5000, 0.0000], [0.5000, 0.2500, 0.5000], [0.7500, 0.2500, 0.2500], [0.0000, 0.0000, 0.2500], [0.2465, 0.9965, 0.9930], [0.7500, 0.7535, 0.7465], [0.4930, 0.7465, 0.9965], [0.0035, 0.2500, 0.9965], [0.2535, 0.7465, 0.2500], [0.4965, 0.5035, 0.2500], [0.2465, 0.2500, 0.7535], [0.2535, 0.5070, 0.5035], [0.7500, 0.9965, 0.5035], [0.0070, 0.5035, 0.7535], [0.0035, 0.7535, 0.5070], [0.4965, 0.9930, 0.7465]]
}


no.,uncorrected formation energy (meV/atom),total energy (eV per atom)
1,-178,-3.390
2,265,-2.946
3,-1027,-4.877
4,915,-3.915
5,-1118,-4.535
6,-105,-5.299
7,-482,-5.494
8,-976,-5.129